Compound: TlCrO3
Source: Alexandria
Functional: PBE with a Hubbard U
Structure: optimized geometry

## Properties
As for the symmetry: Pm-3m, No. 221. The total energy is -4.84 eV/atom. For the spin magnetization, the calculation gives 3.66 μB/cell.

a b c (Å): 4.1654 4.1654 4.1654
angles (deg): 90.00 90.00 90.00
Each line ends with the local moment (μB).
Fractional positions:
Cr 0.5000 0.5000 0.5000  4.11
Tl 0.0000 0.0000 0.0000  -0.04
O 0.0000 0.5000 0.0000  -0.28
O 0.0000 0.0000 0.5000  -0.13
O 0.5000 0.0000 0.0000  -0.20